No. 1
First-principles (PBE) data for crystalline Tb6InHg3 at its relaxed geometry, as listed in the Alexandria database.

Results
- formation energy from the elements (meV per atom) = -356
- volume (Å³/f.u.) = 275
- energy (eV per atom) = -3.499

CIF file:
```
data_Tb6InHg3
_symmetry_space_group_name_H-M 'P 1 21/m 1'
_symmetry_Int_Tables_number 11
_cell_length_a 9.509
_cell_length_b 5.192
_cell_length_c 11.577
_cell_angle_alpha 90.00
_cell_angle_beta 105.63
_cell_angle_gamma 90.00
loop_
_symmetry_equiv_pos_as_xyz
'x,y,z'
'-x,-y,-z'
'-x,y+1/2,-z'
'x,-y+1/2,z'
loop_
_atom_site_label
_atom_site_fract_x
_atom_site_fract_y
_atom_site_fract_z
Tb1 0.032 0.250 0.402
Tb2 0.147 0.750 0.183
Tb3 0.253 0.250 0.002
Tb4 0.338 0.750 0.820
Tb5 0.377 0.250 0.331
Tb6 0.380 0.250 0.611
In1 0.448 0.750 0.117
Hg1 0.027 0.750 0.883
Hg2 0.126 0.250 0.719
Hg3 0.278 0.750 0.467
```

***

No. 2
First-principles (PBE) data for crystalline TbIn4Hg at its relaxed geometry, as listed in the Alexandria database.

Results
- formation energy from the elements (meV per atom) = -69
- volume (Å³/f.u.) = 161
- energy (eV per atom) = -2.717

CIF file:
```
data_TbIn4Hg
_symmetry_space_group_name_H-M 'F -4 3 m'
_symmetry_Int_Tables_number 216
_symmetry_space_group_name_Hall 'F -4 2 3'
_cell_length_a 8.634
_cell_length_b 8.634
_cell_length_c 8.634
_cell_angle_alpha 90.00
_cell_angle_beta 90.00
_cell_angle_gamma 90.00
loop_
_atom_site_label
_atom_site_fract_x
_atom_site_fract_y
_atom_site_fract_z
Tb1 0.000 0.000 0.000
In1 0.125 0.125 0.625
Hg1 0.250 0.250 0.250
```